Material: Al4Zn
Method: DFT, GGA-PBE
State: optimized geometry

Geometry as extended XYZ:
```
5
Lattice="-1.945 1.945 6.296 1.945 -1.945 6.296 1.945 1.945 -6.296" Properties=species:S:1:pos:R:3 pbc="T T T"
Zn 0.000 0.000 0.000
Al 0.000 0.000 5.016
Al 0.000 1.945 3.148
Al 0.000 0.000 7.576
Al 1.945 0.000 3.148
```

Output
- Total magnetic moment: 0.000 μB/atom
- Formation enthalpy at 0 K: 0.217 eV per atom
- Final energy: -3.0318 eV per atom
- Space group: No. 139
- ΔE to the lowest computed polymorph: 0.211 eV per atom